DFT (PBE-GGA) results for crystalline TlAu5 at its relaxed geometry.

Summary:
The excess energy over the best structure of this formula in the dataset is 0.69 kJ/mol of atoms. Its energy relative to the elements is 5.9 kJ/mol of atoms. The volume is 115.87 Å³ per cell. As for the space group: Cmmm.

a b c (Å): 6.811 6.811 4.200
angles (deg): 90.00 90.00 143.50
Element x y z (fractional)
Au1 0.640 0.360 0.000
Au2 0.472 0.528 0.500
Tl1 0.972 0.028 0.000
Au3 0.304 0.696 0.000
Au4 0.799 0.201 0.500
Au5 0.146 0.854 0.500